# 1
HfAg2S2 | PBE | optimized geometry

```
data_HfAg2S2
_chemical_formula_sum 'Hf2 Ag4 S4'
_space_group_name_H-M_alt 'I 4/m m m'
_space_group_IT_number 139
_space_group_name_Hall '-I 4 2'
_cell_length_a 3.565
_cell_length_b 3.565
_cell_length_c 14.945
_cell_angle_alpha 90.00
_cell_angle_beta 90.00
_cell_angle_gamma 90.00
loop_
_atom_site_label
_atom_site_fract_x
_atom_site_fract_y
_atom_site_fract_z
Hf1 0.000 0.000 0.000
Ag1 0.000 0.500 0.250
S1 0.000 0.000 0.411
```

## Properties
**DOS(E_F)**: 0.408 states/eV per atom
**DFT total energy**: -49.528 eV per cell
**Distance to the lowest polymorph of the same formula**: 198 meV per atom
**E_form (uncorrected)**: -0.17 eV/atom
**Spin magnetization**: 0.00 μB per formula unit

=====

# 2
MnCd2Pt | PBE | optimized geometry

```
data_MnCd2Pt
_chemical_formula_sum 'Mn2 Cd4 Pt2'
_space_group_name_H-M_alt 'C 1 m 1'
_space_group_IT_number 8
_cell_length_a 9.716
_cell_length_b 2.997
_cell_length_c 5.030
_cell_angle_alpha 90.00
_cell_angle_beta 103.02
_cell_angle_gamma 90.00
loop_
_space_group_symop_operation_xyz
'x,y,z'
'x,-y,z'
'x+1/2,y+1/2,z'
'x+1/2,-y+1/2,z'
loop_
_atom_site_label
_atom_site_fract_x
_atom_site_fract_y
_atom_site_fract_z
Mn1 0.000 0.000 0.000
Cd1 0.245 0.000 0.742
Cd2 0.478 0.000 0.475
Pt1 0.225 0.500 0.217
```

## Properties
**DOS(E_F)**: 0.453 states/eV per atom
**DFT total energy**: -34.516 eV per cell
**Formation energy**: -54 meV per atom
**Spin magnetization**: 4.01 μB per formula unit

=====

# 3
Hf2TiTlH | PBE | optimized geometry

```
data_Hf2TiTlH
_chemical_formula_sum 'Hf2 Ti1 Tl1 H1'
_space_group_name_H-M_alt 'P 4/m m m'
_space_group_IT_number 123
_space_group_name_Hall '-P 4 2'
_cell_length_a 4.402
_cell_length_b 4.402
_cell_length_c 4.303
_cell_angle_alpha 90.00
_cell_angle_beta 90.00
_cell_angle_gamma 90.00
loop_
_atom_site_label
_atom_site_fract_x
_atom_site_fract_y
_atom_site_fract_z
Hf1 0.000 0.500 0.000
Ti1 0.000 0.000 0.500
Tl1 0.500 0.500 0.500
H1 0.000 0.000 0.000
```

## Properties
**DOS(E_F)**: 0.851 states/eV per atom
**DFT total energy**: -34.112 eV per cell
**Spin magnetization**: 0.00 μB per formula unit

=====

# 4
Sm12AlPd6 | PBE | optimized geometry

```
data_Sm12AlPd6
_chemical_formula_sum 'Sm24 Al2 Pd12'
_space_group_name_H-M_alt 'I m -3'
_space_group_IT_number 204
_space_group_name_Hall '-I 2 2 3'
_cell_length_a 10.157
_cell_length_b 10.157
_cell_length_c 10.157
_cell_angle_alpha 90.00
_cell_angle_beta 90.00
_cell_angle_gamma 90.00
loop_
_atom_site_label
_atom_site_fract_x
_atom_site_fract_y
_atom_site_fract_z
Sm1 0.000 0.183 0.297
Al1 0.000 0.000 0.000
Pd1 0.000 0.365 0.500
```

## Properties
**DOS(E_F)**: 0.766 states/eV per atom
**DFT total energy**: -203.488 eV per cell
**Formation energy**: -538 meV per atom
**Distance to the lowest polymorph of the same formula**: 0 meV per atom
**Spin magnetization**: 0.00 μB per formula unit

=====

# 5
MnCdBr2 | PBE | optimized geometry

```
data_MnCdBr2
_chemical_formula_sum 'Mn2 Cd2 Br4'
_space_group_name_H-M_alt 'C m m m'
_space_group_IT_number 65
_space_group_name_Hall '-C 2 2'
_cell_length_a 3.714
_cell_length_b 6.836
_cell_length_c 10.723
_cell_angle_alpha 90.00
_cell_angle_beta 90.00
_cell_angle_gamma 90.00
loop_
_atom_site_label
_atom_site_fract_x
_atom_site_fract_y
_atom_site_fract_z
Mn1 0.000 0.000 0.000
Cd1 0.000 0.000 0.500
Br1 0.000 0.500 0.166
```

## Properties
**DOS(E_F)**: 0.287 states/eV per atom
**DFT total energy**: -29.364 eV per cell
**Distance to the lowest polymorph of the same formula**: 140 meV per atom
**E_form (uncorrected)**: -0.31 eV/atom
**Spin magnetization**: 4.93 μB per formula unit

=====

# 6
CaAl2SeO6 | PBE | optimized geometry

```
data_CaAl2SeO6
_chemical_formula_sum 'Ca4 Al8 Se4 O24'
_space_group_name_H-M_alt 'C 1 2/c 1'
_space_group_IT_number 15
_cell_length_a 10.616
_cell_length_b 9.238
_cell_length_c 5.995
_cell_angle_alpha 90.00
_cell_angle_beta 111.04
_cell_angle_gamma 90.00
loop_
_space_group_symop_operation_xyz
'x,y,z'
'-x,-y,-z'
'-x,y,-z+1/2'
'x,-y,z+1/2'
'x+1/2,y+1/2,z'
'-x+1/2,-y+1/2,-z'
'-x+1/2,y+1/2,-z+1/2'
'x+1/2,-y+1/2,z+1/2'
loop_
_atom_site_label
_atom_site_fract_x
_atom_site_fract_y
_atom_site_fract_z
Ca1 0.000 0.115 0.250
Al1 0.216 0.413 0.202
Se1 0.000 0.263 0.750
O1 0.100 0.131 0.673
O2 0.117 0.256 0.086
O3 0.202 0.468 0.470
```

## Properties
**DOS(E_F)**: 0.000 states/eV per atom
**DFT total energy**: -262.855 eV per cell
**E_form (uncorrected)**: -2.30 eV/atom
**Spin magnetization**: 0.00 μB per formula unit

=====

# 7
U2AsN | PBE | optimized geometry

```
data_U2AsN
_chemical_formula_sum 'U2 As1 N1'
_space_group_name_H-M_alt 'P 4/m m m'
_space_group_IT_number 123
_space_group_name_Hall '-P 4 2'
_cell_length_a 3.244
_cell_length_b 3.244
_cell_length_c 6.417
_cell_angle_alpha 90.00
_cell_angle_beta 90.00
_cell_angle_gamma 90.00
loop_
_atom_site_label
_atom_site_fract_x
_atom_site_fract_y
_atom_site_fract_z
U1 0.000 0.000 0.190
As1 0.500 0.500 0.500
N1 0.500 0.500 0.000
```

## Properties
**DOS(E_F)**: 1.761 states/eV per atom
**DFT total energy**: -36.827 eV per cell
**Distance to the lowest polymorph of the same formula**: 593 meV per atom
**E_form (uncorrected)**: -0.32 eV/atom
**Spin magnetization**: 0.00 μB per formula unit

=====

# 8
LaCeSmLu | PBE | optimized geometry

```
data_LaCeSmLu
_chemical_formula_sum 'La4 Ce4 Sm4 Lu4'
_space_group_name_H-M_alt 'F -4 3 m'
_space_group_IT_number 216
_space_group_name_Hall 'F -4 2 3'
_cell_length_a 8.112
_cell_length_b 8.112
_cell_length_c 8.112
_cell_angle_alpha 90.00
_cell_angle_beta 90.00
_cell_angle_gamma 90.00
loop_
_atom_site_label
_atom_site_fract_x
_atom_site_fract_y
_atom_site_fract_z
La1 0.000 0.000 0.000
Ce1 0.250 0.250 0.750
Sm1 0.000 0.000 0.500
Lu1 0.250 0.250 0.250
```

## Properties
**DOS(E_F)**: 2.731 states/eV per atom
**DFT total energy**: -77.238 eV per cell
**Formation energy**: 198 meV per atom
**Spin magnetization**: 3.12 μB per formula unit

=====

# 9
Y3InTe | PBE | optimized geometry

```
data_Y3InTe
_chemical_formula_sum 'Y6 In2 Te2'
_space_group_name_H-M_alt 'P 1 21/m 1'
_space_group_IT_number 11
_cell_length_a 7.055
_cell_length_b 4.680
_cell_length_c 9.105
_cell_angle_alpha 90.00
_cell_angle_beta 96.79
_cell_angle_gamma 90.00
loop_
_space_group_symop_operation_xyz
'x,y,z'
'-x,-y,-z'
'-x,y+1/2,-z'
'x,-y+1/2,z'
loop_
_atom_site_label
_atom_site_fract_x
_atom_site_fract_y
_atom_site_fract_z
Y1 0.004 0.250 0.229
Y2 0.306 0.750 0.443
Y3 0.487 0.750 0.822
In1 0.233 0.250 0.652
Te1 0.231 0.750 0.087
```

## Properties
**DOS(E_F)**: 0.602 states/eV per atom
**DFT total energy**: -57.651 eV per cell
**Distance to the lowest polymorph of the same formula**: 0 meV per atom
**E_form (uncorrected)**: -0.71 eV/atom
**Spin magnetization**: 0.00 μB per formula unit

=====

# 10
BaPmAs2S8 | PBE | optimized geometry

```
data_BaPmAs2S8
_chemical_formula_sum 'Ba1 Pm1 As2 S8'
_space_group_name_H-M_alt 'P -3'
_space_group_IT_number 147
_cell_length_a 6.1713
_cell_length_b 6.1713
_cell_length_c 9.5426
_cell_angle_alpha 90.00
_cell_angle_beta 90.00
_cell_angle_gamma 120.00
loop_
_space_group_symop_operation_xyz
'x,y,z'
'-x,-y,-z'
'-y,x-y,z'
'y,-x+y,-z'
'-x+y,-x,z'
'x-y,x,-z'
loop_
_atom_site_label
_atom_site_fract_x
_atom_site_fract_y
_atom_site_fract_z
Ba1 0.0000 0.0000 0.0000
Pm1 0.0000 0.0000 0.5000
As1 0.3333 0.6667 0.7583
S1 0.0211 0.6653 0.3044
S2 0.3333 0.6667 0.9863
```

## Properties
**DOS(E_F)**: 1.073 states/eV per atom
**DFT total energy**: -56.980 eV per cell
**E_form (uncorrected)**: -0.67 eV/atom
**Spin magnetization**: 0.27 μB per formula unit

=====

# 11
LiFe2I6Br2 | PBE | optimized geometry

```
data_LiFe2I6Br2
_chemical_formula_sum 'Li1 Fe2 I6 Br2'
_space_group_name_H-M_alt 'P -3'
_space_group_IT_number 147
_cell_length_a 7.1325
_cell_length_b 7.1325
_cell_length_c 10.4615
_cell_angle_alpha 90.00
_cell_angle_beta 90.00
_cell_angle_gamma 120.00
loop_
_space_group_symop_operation_xyz
'x,y,z'
'-x,-y,-z'
'-y,x-y,z'
'y,-x+y,-z'
'-x+y,-x,z'
'x-y,x,-z'
loop_
_atom_site_label
_atom_site_fract_x
_atom_site_fract_y
_atom_site_fract_z
Li1 0.0000 0.0000 0.0000
Fe1 0.3333 0.6667 0.7418
I1 0.0025 0.3336 0.1750
Br1 0.3333 0.6667 0.5229
```

## Properties
**DOS(E_F)**: 0.748 states/eV per atom
**DFT total energy**: -35.367 eV per cell
**E_form (uncorrected)**: -0.35 eV/atom
**Spin magnetization**: 8.99 μB per formula unit

=====

# 12
La4ZnRh | PBE | optimized geometry

```
data_La4ZnRh
_chemical_formula_sum 'La64 Zn16 Rh16'
_space_group_name_H-M_alt 'F -4 3 m'
_space_group_IT_number 216
_space_group_name_Hall 'F -4 2 3'
_cell_length_a 14.111
_cell_length_b 14.111
_cell_length_c 14.111
_cell_angle_alpha 90.00
_cell_angle_beta 90.00
_cell_angle_gamma 90.00
loop_
_atom_site_label
_atom_site_fract_x
_atom_site_fract_y
_atom_site_fract_z
La1 0.000 0.000 0.188
La2 0.056 0.250 0.250
La3 0.101 0.101 0.601
Zn1 0.171 0.171 0.829
Rh1 0.109 0.109 0.391
```

## Properties
**DOS(E_F)**: 0.926 states/eV per atom
**DFT total energy**: -491.427 eV per cell
**Formation energy**: -397 meV per atom
**Distance to the lowest polymorph of the same formula**: 0 meV per atom
**Spin magnetization**: 0.00 μB per formula unit

=====

# 13
HgMo2W | PBE | optimized geometry

```
data_HgMo2W
_chemical_formula_sum 'Hg1 Mo2 W1'
_space_group_name_H-M_alt 'P 4 m m'
_space_group_IT_number 99
_cell_length_a 2.732
_cell_length_b 2.732
_cell_length_c 9.228
_cell_angle_alpha 90.00
_cell_angle_beta 90.00
_cell_angle_gamma 90.00
loop_
_space_group_symop_operation_xyz
'x,y,z'
'-y,x,z'
'-x,-y,z'
'y,-x,z'
'-x,y,z'
'y,x,z'
'x,-y,z'
'-y,-x,z'
loop_
_atom_site_label
_atom_site_fract_x
_atom_site_fract_y
_atom_site_fract_z
Hg1 0.000 0.000 0.000
Mo1 0.000 0.000 0.499
Mo2 0.500 0.500 0.257
W1 0.500 0.500 0.742
```

## Properties
**DOS(E_F)**: 0.854 states/eV per atom
**DFT total energy**: -32.537 eV per cell
**Formation energy**: 595 meV per atom
**Spin magnetization**: 0.00 μB per formula unit

=====

# 14
Ce3HoCo2 | PBE | optimized geometry

```
data_Ce3HoCo2
_chemical_formula_sum 'Ce12 Ho4 Co8'
_space_group_name_H-M_alt 'C 1 2/m 1'
_space_group_IT_number 12
_cell_length_a 14.526
_cell_length_b 4.630
_cell_length_c 8.848
_cell_angle_alpha 90.00
_cell_angle_beta 114.99
_cell_angle_gamma 90.00
loop_
_space_group_symop_operation_xyz
'x,y,z'
'-x,-y,-z'
'-x,y,-z'
'x,-y,z'
'x+1/2,y+1/2,z'
'-x+1/2,-y+1/2,-z'
'-x+1/2,y+1/2,-z'
'x+1/2,-y+1/2,z'
loop_
_atom_site_label
_atom_site_fract_x
_atom_site_fract_y
_atom_site_fract_z
Ce1 0.055 0.000 0.182
Ce2 0.149 0.500 0.968
Ce3 0.174 0.500 0.441
Ho1 0.118 0.000 0.655
Co1 0.009 0.500 0.368
Co2 0.216 0.000 0.179
```

## Properties
**DOS(E_F)**: 1.960 states/eV per atom
**DFT total energy**: -148.312 eV per cell
**Formation energy**: -81 meV per atom
**Spin magnetization**: 0.61 μB per formula unit

=====

# 15
MnCoSe2 | PBE | optimized geometry

```
data_MnCoSe2
_chemical_formula_sum 'Mn1 Co1 Se2'
_space_group_name_H-M_alt 'P 1 m 1'
_space_group_IT_number 6
_cell_length_a 3.758
_cell_length_b 3.760
_cell_length_c 6.094
_cell_angle_alpha 90.00
_cell_angle_beta 90.28
_cell_angle_gamma 90.00
loop_
_space_group_symop_operation_xyz
'x,y,z'
'x,-y,z'
loop_
_atom_site_label
_atom_site_fract_x
_atom_site_fract_y
_atom_site_fract_z
Mn1 0.000 0.000 0.000
Co1 0.500 0.500 0.000
Se1 0.502 0.000 0.237
Se2 0.998 0.500 0.763
```

## Properties
**DOS(E_F)**: 0.762 states/eV per atom
**DFT total energy**: -24.656 eV per cell
**Distance to the lowest polymorph of the same formula**: 0 meV per atom
**E_form (uncorrected)**: -0.35 eV/atom
**Spin magnetization**: 1.26 μB per formula unit

=====

# 16
NiSb2Au2 | PBE | optimized geometry

```
data_NiSb2Au2
_chemical_formula_sum 'Ni2 Sb4 Au4'
_space_group_name_H-M_alt 'P 4/m b m'
_space_group_IT_number 127
_space_group_name_Hall '-P 4 2ab'
_cell_length_a 6.836
_cell_length_b 6.836
_cell_length_c 4.518
_cell_angle_alpha 90.00
_cell_angle_beta 90.00
_cell_angle_gamma 90.00
loop_
_atom_site_label
_atom_site_fract_x
_atom_site_fract_y
_atom_site_fract_z
Ni1 0.000 0.000 0.000
Sb1 0.166 0.334 0.000
Au1 0.151 0.651 0.500
```

## Properties
**DOS(E_F)**: 0.532 states/eV per atom
**DFT total energy**: -39.537 eV per cell
**Distance to the lowest polymorph of the same formula**: 0 meV per atom
**E_form (uncorrected)**: 0.16 eV/atom
**Spin magnetization**: 0.00 μB per formula unit

=====

# 17
BaCa3Ac | PBE | optimized geometry

```
data_BaCa3Ac
_chemical_formula_sum 'Ba2 Ca6 Ac2'
_space_group_name_H-M_alt 'P 1 21/m 1'
_space_group_IT_number 11
_cell_length_a 4.045
_cell_length_b 9.137
_cell_length_c 13.594
_cell_angle_alpha 90.00
_cell_angle_beta 90.18
_cell_angle_gamma 90.00
loop_
_space_group_symop_operation_xyz
'x,y,z'
'-x,-y,-z'
'-x,y+1/2,-z'
'x,-y+1/2,z'
loop_
_atom_site_label
_atom_site_fract_x
_atom_site_fract_y
_atom_site_fract_z
Ba1 0.000 0.000 0.000
Ca1 0.002 0.044 0.681
Ca2 0.499 0.250 0.197
Ac1 0.500 0.250 0.477
```

## Properties
**DOS(E_F)**: 1.467 states/eV per atom
**DFT total energy**: -22.567 eV per cell
**Formation energy**: 151 meV per atom
**Distance to the lowest polymorph of the same formula**: 0 meV per atom
**Spin magnetization**: 0.00 μB per formula unit

=====

# 18
DySnRh | PBE | optimized geometry

```
data_DySnRh
_chemical_formula_sum 'Dy6 Sn6 Rh6'
_space_group_name_H-M_alt 'P 1 21/m 1'
_space_group_IT_number 11
_cell_length_a 7.368
_cell_length_b 4.277
_cell_length_c 12.291
_cell_angle_alpha 90.00
_cell_angle_beta 90.98
_cell_angle_gamma 90.00
loop_
_space_group_symop_operation_xyz
'x,y,z'
'-x,-y,-z'
'-x,y+1/2,-z'
'x,-y+1/2,z'
loop_
_atom_site_label
_atom_site_fract_x
_atom_site_fract_y
_atom_site_fract_z
Dy1 0.033 0.250 0.123
Dy2 0.150 0.250 0.418
Dy3 0.458 0.750 0.790
Sn1 0.126 0.250 0.707
Sn2 0.346 0.750 0.046
Sn3 0.493 0.750 0.411
Rh1 0.238 0.750 0.256
Rh2 0.260 0.750 0.588
Rh3 0.264 0.250 0.921
```

## Properties
**DOS(E_F)**: 0.578 states/eV per atom
**DFT total energy**: -111.133 eV per cell
**Formation energy**: -855 meV per atom
**Spin magnetization**: 0.00 μB per formula unit